Record 1
V2Pt3Rh: optimized geometry, PBE.

Computed properties:
- Total magnetization: 0.0 μB/cell
- Density of states at the Fermi level: 0.941 states/eV/atom
- Energy of formation: -0.4213 eV/atom

The structure in extended XYZ format:
```
12
Lattice="0.000 2.762 11.971 2.732 0.000 11.971 2.732 2.762 0.000" Properties=species:S:1:pos:R:3 pbc="T T T"
V 1.366 1.381 5.986
V 2.732 1.383 11.971
V 2.732 4.142 11.971
V 4.098 4.143 17.957
Pt 4.095 2.762 10.160
Pt 2.732 2.762 4.212
Pt 4.095 2.762 13.783
Pt 1.369 2.762 10.160
Pt 2.732 2.762 19.731
Pt 1.369 2.762 13.783
Rh 2.732 2.762 7.727
Rh 2.732 2.762 16.216
```

---

Record 2
SmH8Ir2Au: optimized geometry, PBE.

Computed properties:
- Total magnetization: 0.0 μB/cell
- Density of states at the Fermi level: 0.130 states/eV/atom
- Raw total energy: -4.48 eV per atom

The structure in extended XYZ format:
```
12
Lattice="4.456 -2.127 0.000 4.456 2.127 0.000 -2.062 0.000 5.710" Properties=species:S:1:pos:R:3 pbc="T T T"
Sm 0.000 0.000 0.000
H 2.430 1.041 0.926
H 1.182 0.000 2.165
H 1.902 0.000 4.915
H 4.420 1.041 4.783
H 2.430 -1.041 0.926
H 4.948 0.000 0.794
H 5.667 0.000 3.545
H 4.420 -1.041 4.783
Ir 0.664 0.000 3.799
Ir 6.186 0.000 1.911
Au 3.425 0.000 2.855
```

---

Question: Which value of total magnetization does entry 2 give?
Answer: 0.0 μB/cell

---

Question: Number 1 is which compound?
Answer: V2Pt3Rh

---

Question: What is the density of states at the Fermi level in the first record?
Answer: 0.941 states/eV/atom